Record 1
A plane-wave DFT calculation with GGA-PBE was carried out for crystalline InPb5 at its relaxed geometry.

POSCAR file:
```
InPb5
1.0
7.999 -1.747 0.000
7.999 1.747 0.000
-1.338 0.000 6.640
In Pb
1 5
direct
0.000 0.000 0.000
0.000 0.000 0.500
0.334 0.334 0.168
0.335 0.335 0.673
0.665 0.665 0.327
0.666 0.666 0.832
```

ΔE_f	11	meV per atom
excess energy over the best structure of this formula in the dataset	0.078	eV/f.u.
space-group type	No. 12
final energy	-21.2	eV/cell
volume	30.9	Å³/atom


Record 2
A plane-wave DFT calculation with GGA-PBE was carried out for crystalline RhPb2 at its relaxed geometry.

POSCAR file:
```
RhPb2
1.0
1.709 -9.023 0.000
1.709 9.023 0.000
0.000 0.000 4.653
Rh Pb
2 4
direct
0.061 0.939 0.750
0.939 0.061 0.250
0.301 0.699 0.250
0.431 0.569 0.750
0.569 0.431 0.250
0.699 0.301 0.750
```

ΔE_f	37	meV per atom
space-group type	No. 63
final energy	-29.3	eV/cell
volume	23.9	Å³/atom


Record 3
A plane-wave DFT calculation with GGA-PBE was carried out for crystalline CsPu2HgSe4 at its relaxed geometry.

POSCAR file:
```
CsPu2HgSe4
1.0
2.175 -7.505 0.000
2.175 7.505 0.000
0.000 0.000 15.125
Cs Pu Hg Se
2 4 2 8
direct
0.119 0.881 0.750
0.881 0.119 0.250
0.373 0.627 0.558
0.373 0.627 0.942
0.627 0.373 0.058
0.627 0.373 0.442
0.164 0.836 0.250
0.836 0.164 0.750
0.000 0.000 0.000
0.000 0.000 0.500
0.255 0.745 0.098
0.255 0.745 0.402
0.441 0.559 0.750
0.559 0.441 0.250
0.745 0.255 0.598
0.745 0.255 0.902
```

space-group type	No. 63
final energy	-105.3	eV/cell
volume	30.9	Å³/atom
formation energy without anion corrections	-1.111	eV/atom


Record 4
A plane-wave DFT calculation with GGA-PBE was carried out for crystalline Ba3Sr2Tl3 at its relaxed geometry.

POSCAR file:
```
Ba3Sr2Tl3
1.0
-2.155 3.136 12.830
2.155 -3.136 12.830
2.155 3.136 -12.830
Ba Sr Tl
3 2 3
direct
0.000 0.000 0.000
0.384 0.884 0.500
0.616 0.116 0.500
0.223 0.223 0.000
0.777 0.777 0.000
0.118 0.618 0.500
0.500 0.500 0.000
0.882 0.382 0.500
```

ΔE_f	-300	meV per atom
space-group type	No. 71
final energy	-18.6	eV/cell
volume	43.4	Å³/atom


Record 5
A plane-wave DFT calculation with GGA-PBE was carried out for crystalline Rb2HoGe2O6 at its relaxed geometry.

POSCAR file:
```
Rb2HoGe2O6
1.0
3.046 1.759 6.067
-3.046 1.759 6.067
0.000 -3.517 6.067
Rb Ho Ge O
2 1 2 6
direct
0.217 0.217 0.217
0.783 0.783 0.783
0.000 0.000 0.000
0.427 0.427 0.427
0.573 0.573 0.573
0.245 0.245 0.731
0.245 0.731 0.245
0.269 0.755 0.755
0.731 0.245 0.245
0.755 0.269 0.755
0.755 0.755 0.269
```

space-group type	No. 166
final energy	-67.8	eV/cell
volume	17.7	Å³/atom
formation energy without anion corrections	-2.030	eV/atom


Record 6
A plane-wave DFT calculation with GGA-PBE was carried out for crystalline V6SiOs at its relaxed geometry.

POSCAR file:
```
V6SiOs
1.0
4.748 0.000 0.000
0.000 4.748 0.000
0.000 0.000 4.748
V Si Os
6 1 1
direct
0.000 0.250 0.500
0.000 0.750 0.500
0.250 0.500 0.000
0.500 0.000 0.250
0.500 0.000 0.750
0.750 0.500 0.000
0.500 0.500 0.500
0.000 0.000 0.000
```

space-group type	No. 200
final energy	-74.5	eV/cell
volume	13.4	Å³/atom
formation energy without anion corrections	-0.392	eV/atom


Record 7
A plane-wave DFT calculation with GGA-PBE was carried out for crystalline CsPbSCl2 at its relaxed geometry.

POSCAR file:
```
CsPbSCl2
1.0
6.012 0.000 0.000
0.000 6.012 0.000
0.000 0.000 5.534
Cs Pb S Cl
1 1 1 2
direct
0.000 0.000 0.000
0.500 0.500 0.500
0.000 0.000 0.500
0.000 0.500 0.000
0.500 0.000 0.000
```

excess energy over the best structure of this formula in the dataset	4.929	eV/f.u.
space-group type	No. 123
final energy	-12.7	eV/cell
volume	40.0	Å³/atom
formation energy without anion corrections	-0.064	eV/atom


Record 8
A plane-wave DFT calculation with GGA-PBE was carried out for crystalline Pr3Zn6GaAu2 at its relaxed geometry.

POSCAR file:
```
Pr3Zn6GaAu2
1.0
5.566 0.000 0.000
-2.783 4.820 0.000
0.000 0.000 9.626
Pr Zn Ga Au
3 6 1 2
direct
0.000 0.000 0.000
0.333 0.667 0.587
0.667 0.333 0.413
0.171 0.343 0.269
0.171 0.829 0.269
0.343 0.171 0.731
0.657 0.829 0.269
0.829 0.171 0.731
0.829 0.657 0.731
0.000 0.000 0.500
0.333 0.667 0.035
0.667 0.333 0.965
```

ΔE_f	-274	meV per atom
space-group type	No. 164
final energy	-34.8	eV/cell
volume	21.5	Å³/atom


Record 9
A plane-wave DFT calculation with GGA-PBE was carried out for crystalline LiU2Ni4P3 at its relaxed geometry.

POSCAR file:
```
LiU2Ni4P3
1.0
3.847 0.000 0.000
0.000 3.847 0.000
0.000 0.000 9.570
Li U Ni P
1 2 4 3
direct
0.000 0.000 0.000
0.000 0.500 0.748
0.500 0.000 0.252
0.000 0.000 0.500
0.000 0.500 0.134
0.500 0.000 0.866
0.500 0.500 0.500
0.000 0.500 0.367
0.500 0.000 0.633
0.500 0.500 0.000
```

ΔE_f	-672	meV per atom
space-group type	No. 115
final energy	-70.6	eV/cell
volume	14.2	Å³/atom


Record 10
A plane-wave DFT calculation with GGA-PBE was carried out for crystalline TaTiIn2 at its relaxed geometry.

POSCAR file:
```
TaTiIn2
1.0
4.178 0.000 0.000
0.000 4.178 0.000
0.000 0.000 4.419
Ta Ti In
1 1 2
direct
0.000 0.000 0.000
0.500 0.500 0.000
0.000 0.500 0.500
0.500 0.000 0.500
```

ΔE_f	45	meV per atom
excess energy over the best structure of this formula in the dataset	0.000	eV/f.u.
space-group type	No. 123
final energy	-25.0	eV/cell
volume	19.3	Å³/atom


Record 11
A plane-wave DFT calculation with GGA-PBE was carried out for crystalline CsNaTc2 at its relaxed geometry.

POSCAR file:
```
CsNaTc2
1.0
0.000 3.405 3.405
3.405 0.000 3.405
3.405 3.405 0.000
Cs Na Tc
1 1 2
direct
0.000 0.000 0.000
0.500 0.500 0.500
0.250 0.250 0.250
0.750 0.750 0.750
```

ΔE_f	2226	meV per atom
space-group type	No. 225
final energy	-14.0	eV/cell
volume	19.7	Å³/atom


Record 12
A plane-wave DFT calculation with GGA-PBE was carried out for crystalline Ta2Se3S at its relaxed geometry.

POSCAR file:
```
Ta2Se3S
1.0
9.944 -1.729 0.000
9.944 1.729 0.000
-5.243 0.000 9.112
Ta Se S
4 6 2
direct
0.095 0.095 0.219
0.341 0.341 0.977
0.659 0.659 0.023
0.905 0.905 0.781
0.184 0.184 0.863
0.293 0.293 0.702
0.435 0.435 0.639
0.565 0.565 0.361
0.707 0.707 0.298
0.816 0.816 0.137
0.059 0.059 0.954
0.941 0.941 0.046
```

excess energy over the best structure of this formula in the dataset	1.151	eV/f.u.
space-group type	No. 12
final energy	-84.7	eV/cell
volume	26.1	Å³/atom
formation energy without anion corrections	-0.677	eV/atom


Record 13
A plane-wave DFT calculation with GGA-PBE was carried out for crystalline NaLiZn2 at its relaxed geometry.

POSCAR file:
```
NaLiZn2
1.0
-2.397 2.397 9.344
2.397 -2.397 9.344
2.397 2.397 -9.344
Na Li Zn
2 2 4
direct
0.375 0.625 0.750
0.625 0.375 0.250
0.125 0.875 0.250
0.875 0.125 0.750
0.000 0.000 0.000
0.000 0.000 0.500
0.000 0.500 0.000
0.500 0.000 0.500
```

ΔE_f	164	meV per atom
excess energy over the best structure of this formula in the dataset	0.760	eV/f.u.
space-group type	No. 141
final energy	-10.3	eV/cell
volume	26.8	Å³/atom


Record 14
A plane-wave DFT calculation with GGA-PBE was carried out for crystalline LiCoMo at its relaxed geometry.

POSCAR file:
```
LiCoMo
1.0
-1.449 1.449 4.623
1.449 -1.449 4.623
1.449 1.449 -4.623
Li Co Mo
1 1 1
direct
0.000 0.000 0.000
0.656 0.656 0.000
0.303 0.303 0.000
```

ΔE_f	315	meV per atom
excess energy over the best structure of this formula in the dataset	0.124	eV/f.u.
space-group type	No. 107
final energy	-18.9	eV/cell
volume	13.0	Å³/atom


Record 15
A plane-wave DFT calculation with GGA-PBE was carried out for crystalline Li2Ta2Ge at its relaxed geometry.

POSCAR file:
```
Li2Ta2Ge
1.0
-1.967 1.967 5.262
1.967 -1.967 5.262
1.967 1.967 -5.262
Li Ta Ge
2 2 1
direct
0.084 0.084 0.000
0.916 0.916 0.000
0.250 0.750 0.500
0.750 0.250 0.500
0.500 0.500 0.000
```

ΔE_f	641	meV per atom
excess energy over the best structure of this formula in the dataset	1.678	eV/f.u.
space-group type	No. 139
final energy	-28.9	eV/cell
volume	16.3	Å³/atom


Record 16
A plane-wave DFT calculation with GGA-PBE was carried out for crystalline CaNbIn3 at its relaxed geometry.

POSCAR file:
```
CaNbIn3
1.0
5.378 0.000 0.000
0.000 5.378 0.000
0.000 0.000 5.378
Ca Nb In
1 1 3
direct
0.000 0.000 0.000
0.500 0.500 0.500
0.000 0.500 0.500
0.500 0.000 0.500
0.500 0.500 0.000
```

ΔE_f	167	meV per atom
excess energy over the best structure of this formula in the dataset	0.000	eV/f.u.
space-group type	No. 221
final energy	-19.5	eV/cell
volume	31.1	Å³/atom


Record 17
A plane-wave DFT calculation with GGA-PBE was carried out for crystalline GaHg2H2 at its relaxed geometry.

POSCAR file:
```
GaHg2H2
1.0
8.070 0.000 0.000
0.000 8.070 0.000
0.000 0.000 2.978
Ga Hg H
2 4 4
direct
0.000 0.000 0.000
0.500 0.500 0.000
0.249 0.251 0.000
0.251 0.751 0.000
0.749 0.249 0.000
0.751 0.749 0.000
0.033 0.467 0.500
0.467 0.967 0.500
0.533 0.033 0.500
0.967 0.533 0.500
```

excess energy over the best structure of this formula in the dataset	0.000	eV/f.u.
space-group type	No. 127
final energy	-19.9	eV/cell
volume	19.4	Å³/atom


Record 18
A plane-wave DFT calculation with GGA-PBE was carried out for crystalline Ba2Sb2Te at its relaxed geometry.

POSCAR file:
```
Ba2Sb2Te
1.0
-3.369 3.369 4.618
3.369 -3.369 4.618
3.369 3.369 -4.618
Ba Sb Te
2 2 1
direct
0.250 0.750 0.500
0.750 0.250 0.500
0.158 0.158 0.000
0.842 0.842 0.000
0.500 0.500 0.000
```

excess energy over the best structure of this formula in the dataset	1.646	eV/f.u.
space-group type	No. 139
final energy	-19.0	eV/cell
volume	41.9	Å³/atom
formation energy without anion corrections	-0.754	eV/atom


Record 19
A plane-wave DFT calculation with GGA-PBE was carried out for crystalline InSe4 at its relaxed geometry.

POSCAR file:
```
InSe4
1.0
5.244 0.000 0.000
0.000 5.244 0.000
0.000 0.000 5.244
In Se
1 4
direct
0.000 0.000 0.000
0.000 0.000 0.500
0.000 0.500 0.000
0.500 0.000 0.000
0.500 0.500 0.500
```

excess energy over the best structure of this formula in the dataset	3.354	eV/f.u.
space-group type	No. 221
final energy	-13.3	eV/cell
volume	28.8	Å³/atom
formation energy without anion corrections	0.679	eV/atom


Record 20
A plane-wave DFT calculation with GGA-PBE was carried out for crystalline La3Mg2Ni4 at its relaxed geometry.

POSCAR file:
```
La3Mg2Ni4
1.0
5.110 -2.082 0.000
5.110 2.082 0.000
-0.921 0.000 9.045
La Mg Ni
3 2 4
direct
0.000 0.000 0.000
0.373 0.373 0.620
0.627 0.627 0.380
0.325 0.325 0.214
0.675 0.675 0.786
0.077 0.077 0.617
0.283 0.283 0.927
0.717 0.717 0.073
0.923 0.923 0.383
```

ΔE_f	-268	meV per atom
space-group type	No. 12
final energy	-43.5	eV/cell
volume	21.4	Å³/atom


Record 21
A plane-wave DFT calculation with GGA-PBE was carried out for crystalline Na2HoGaS4 at its relaxed geometry.

POSCAR file:
```
Na2HoGaS4
1.0
-3.774 3.978 5.551
3.774 -3.978 5.551
3.774 3.978 -5.551
Na Ho Ga S
4 2 2 8
direct
0.000 0.000 0.000
0.500 0.000 0.000
0.500 0.000 0.500
0.500 0.500 0.500
0.000 0.500 0.500
0.500 0.500 0.000
0.000 0.000 0.500
0.000 0.500 0.000
0.209 0.747 0.462
0.215 0.253 0.962
0.240 0.247 0.507
0.240 0.733 0.993
0.760 0.267 0.007
0.760 0.753 0.493
0.785 0.747 0.038
0.791 0.253 0.538
```

space-group type	No. 74
final energy	-73.9	eV/cell
volume	20.8	Å³/atom
formation energy without anion corrections	-1.274	eV/atom


Record 22
A plane-wave DFT calculation with GGA-PBE was carried out for crystalline Sm3Dy2Y6Ho at its relaxed geometry.

POSCAR file:
```
Sm3Dy2Y6Ho
1.0
3.100 -5.365 0.000
3.100 5.365 0.000
-2.057 0.000 11.651
Sm Dy Y Ho
3 2 6 1
direct
0.000 0.000 0.000
0.333 0.667 0.000
0.667 0.333 0.000
0.167 0.833 0.500
0.833 0.167 0.500
0.084 0.417 0.252
0.250 0.250 0.748
0.417 0.084 0.252
0.583 0.916 0.748
0.750 0.750 0.252
0.916 0.583 0.748
0.500 0.500 0.500
```

ΔE_f	18	meV per atom
space-group type	No. 12
final energy	-66.5	eV/cell
volume	32.3	Å³/atom


Record 23
A plane-wave DFT calculation with GGA-PBE was carried out for crystalline Na2ZrGaSn at its relaxed geometry.

POSCAR file:
```
Na2ZrGaSn
1.0
5.027 0.000 0.000
0.000 5.027 0.000
0.000 0.000 5.361
Na Zr Ga Sn
2 1 1 1
direct
0.000 0.500 0.000
0.500 0.000 0.000
0.000 0.000 0.500
0.000 0.000 0.000
0.500 0.500 0.500
```

ΔE_f	359	meV per atom
space-group type	No. 123
final energy	-16.4	eV/cell
volume	27.1	Å³/atom


Record 24
A plane-wave DFT calculation with GGA-PBE was carried out for crystalline Sm4CuOs at its relaxed geometry.

POSCAR file:
```
Sm4CuOs
1.0
-4.748 4.748 4.206
4.748 -4.748 4.206
4.748 4.748 -4.206
Sm Cu Os
8 2 2
direct
0.197 0.000 0.197
0.233 0.530 0.297
0.233 0.935 0.703
0.280 0.483 0.797
0.685 0.483 0.203
0.750 0.053 0.303
0.750 0.447 0.697
0.803 0.000 0.803
0.493 0.993 0.500
0.743 0.743 0.000
0.240 0.240 0.000
0.990 0.490 0.500
```

ΔE_f	3	meV per atom
excess energy over the best structure of this formula in the dataset	0.563	eV/f.u.
space-group type	No. 109
final energy	-68.4	eV/cell
volume	31.6	Å³/atom